(1)
Density functional theory data (PBE) for crystalline RbSnSb at its relaxed geometry.

The magnetic moment comes out at 0.0 Bohr magnetons per cell. For the uncorrected formation energy, the calculation gives -229 meV per atom.

CIF file:
```
data_RbSnSb
_space_group_name_H-M_alt 'P 1'
_space_group_IT_number 1
_cell_length_a 4.004
_cell_length_b 4.004
_cell_length_c 7.241
_cell_angle_alpha 106.05
_cell_angle_beta 106.05
_cell_angle_gamma 90.00
loop_
_space_group_symop_operation_xyz
'x,y,z'
loop_
_atom_site_label
_atom_site_fract_x
_atom_site_fract_y
_atom_site_fract_z
_atom_site_occupancy
Sn1 0.296 0.296 0.593 1
Rb1 0.001 0.001 0.003 1
Sb1 0.702 0.702 0.404 1
```

(2)
Density functional theory data (PBE) for crystalline Rb3Sn2Sb3 at its relaxed geometry.

The magnetic moment comes out at 0.0 Bohr magnetons per cell. For the uncorrected formation energy, the calculation gives -235 meV per atom. The value obtained for the energy relative to the lowest polymorph listed for this composition is 0.0428 eV per atom.

CIF file:
```
data_Rb3Sn2Sb3
_space_group_name_H-M_alt 'P 1'
_space_group_IT_number 1
_cell_length_a 5.307
_cell_length_b 8.241
_cell_length_c 15.948
_cell_angle_alpha 90.00
_cell_angle_beta 90.00
_cell_angle_gamma 108.78
loop_
_space_group_symop_operation_xyz
'x,y,z'
loop_
_atom_site_label
_atom_site_fract_x
_atom_site_fract_y
_atom_site_fract_z
_atom_site_occupancy
Rb1 0.645 0.290 0.501 1
Sb1 0.711 0.423 0.250 1
Sb2 0.018 0.035 0.589 1
Sn1 0.844 0.688 0.657 1
Rb2 0.546 0.092 0.750 1
Sn2 0.844 0.688 0.843 1
Rb3 0.355 0.710 0.001 1
Rb4 0.454 0.908 0.250 1
Sb3 0.982 0.965 0.411 1
Sb4 0.018 0.035 0.911 1
Sn3 0.156 0.312 0.343 1
Rb5 0.355 0.710 0.499 1
Rb6 0.645 0.290 0.999 1
Sb5 0.982 0.965 0.089 1
Sn4 0.156 0.312 0.157 1
Sb6 0.289 0.577 0.750 1
```

(3)
Density functional theory data (PBE) for crystalline Rb3SnSb2 at its relaxed geometry.

The magnetic moment comes out at 0.0 Bohr magnetons per cell. For the uncorrected formation energy, the calculation gives -331 meV per atom. The value obtained for the energy relative to the lowest polymorph listed for this composition is 0.0000 eV per atom.

CIF file:
```
data_Rb3SnSb2
_space_group_name_H-M_alt 'P 1'
_space_group_IT_number 1
_cell_length_a 5.389
_cell_length_b 14.814
_cell_length_c 14.059
_cell_angle_alpha 90.00
_cell_angle_beta 90.00
_cell_angle_gamma 90.00
loop_
_space_group_symop_operation_xyz
'x,y,z'
loop_
_atom_site_label
_atom_site_fract_x
_atom_site_fract_y
_atom_site_fract_z
_atom_site_occupancy
Rb1 0.250 0.390 0.070 1
Sn1 0.750 0.865 0.860 1
Rb2 0.750 0.562 0.628 1
Rb3 0.750 0.307 0.829 1
Sb1 0.750 0.977 0.700 1
Rb4 0.250 0.110 0.570 1
Sb2 0.750 0.183 0.065 1
Rb5 0.750 0.610 0.930 1
Sn2 0.750 0.635 0.360 1
Sb3 0.750 0.317 0.565 1
Sb4 0.250 0.477 0.800 1
Rb6 0.250 0.062 0.872 1
Rb7 0.750 0.193 0.329 1
Rb8 0.250 0.807 0.671 1
Sb5 0.250 0.817 0.935 1
Sb6 0.250 0.683 0.435 1
Sb7 0.750 0.523 0.200 1
Rb9 0.750 0.938 0.128 1
Rb10 0.250 0.438 0.372 1
Sb8 0.250 0.023 0.300 1
Sn3 0.250 0.365 0.640 1
Rb11 0.250 0.693 0.171 1
Sn4 0.250 0.135 0.140 1
Rb12 0.750 0.890 0.430 1
```

What did the third record say?
Density functional theory data (PBE) for crystalline Rb3SnSb2 at its relaxed geometry.

The magnetic moment comes out at 0.0 Bohr magnetons per cell. For the uncorrected formation energy, the calculation gives -331 meV per atom. The value obtained for the energy relative to the lowest polymorph listed for this composition is 0.0000 eV per atom.

CIF file:
```
data_Rb3SnSb2
_space_group_name_H-M_alt 'P 1'
_space_group_IT_number 1
_cell_length_a 5.389
_cell_length_b 14.814
_cell_length_c 14.059
_cell_angle_alpha 90.00
_cell_angle_beta 90.00
_cell_angle_gamma 90.00
loop_
_space_group_symop_operation_xyz
'x,y,z'
loop_
_atom_site_label
_atom_site_fract_x
_atom_site_fract_y
_atom_site_fract_z
_atom_site_occupancy
Rb1 0.250 0.390 0.070 1
Sn1 0.750 0.865 0.860 1
Rb2 0.750 0.562 0.628 1
Rb3 0.750 0.307 0.829 1
Sb1 0.750 0.977 0.700 1
Rb4 0.250 0.110 0.570 1
Sb2 0.750 0.183 0.065 1
Rb5 0.750 0.610 0.930 1
Sn2 0.750 0.635 0.360 1
Sb3 0.750 0.317 0.565 1
Sb4 0.250 0.477 0.800 1
Rb6 0.250 0.062 0.872 1
Rb7 0.750 0.193 0.329 1
Rb8 0.250 0.807 0.671 1
Sb5 0.250 0.817 0.935 1
Sb6 0.250 0.683 0.435 1
Sb7 0.750 0.523 0.200 1
Rb9 0.750 0.938 0.128 1
Rb10 0.250 0.438 0.372 1
Sb8 0.250 0.023 0.300 1
Sn3 0.250 0.365 0.640 1
Rb11 0.250 0.693 0.171 1
Sn4 0.250 0.135 0.140 1
Rb12 0.750 0.890 0.430 1
```